Entry from the Alexandria database: a geometry-optimized Ba6SrCa6 structure (PBE).

Lattice parameters (Å, degrees): 7.662 7.662 14.033 90.00 90.00 120.00
Sites, in units of the cell vectors:
Ba: 0.000 0.000 0.347
Ba: 0.000 0.000 0.653
Ba: 0.667 0.333 0.000
Ba: 0.333 0.667 0.000
Ba: 0.667 0.333 0.500
Ba: 0.333 0.667 0.500
Sr: 0.000 0.000 0.000
Ca: 0.000 0.500 0.239
Ca: 0.500 0.500 0.239
Ca: 0.500 0.000 0.239
Ca: 0.500 0.500 0.761
Ca: 0.000 0.500 0.761
Ca: 0.500 0.000 0.761

Properties
- Crystal system: hexagonal
- Energy relative to the elements: 73 meV per atom
- Total magnetization: 0.00 μB/cell
- DOS at the Fermi energy: 1.325 states/eV per atom